a) # ThVTc2

ThVTc2 after structural relaxation (PBE-GGA, Alexandria via LeMat-Bulk).

Cell: 4.6534 4.6534 4.6534 Å, 60.00 60.00 60.00°
Site moments in Bohr magnetons follow the coordinates.
Element x y z (fractional)
Tc (0.2500, 0.2500, 0.2500)  -0.20
Tc (0.7500, 0.7500, 0.7500)  -0.20
Th (0.5000, 0.5000, 0.5000)  0.00
V (0.0000, 0.0000, 0.0000)  0.57

b) # ThVTc2

ThVTc2 after structural relaxation (PBE-GGA, Alexandria via LeMat-Bulk).

Cell: 3.1689 3.1689 7.1222 Å, 90.00 90.00 90.00°
Element x y z (fractional)
Tc (0.0000, 0.0000, 0.8011)
Tc (0.0000, 0.0000, 0.1989)
Th (0.5000, 0.5000, 0.5000)
V (0.5000, 0.5000, 0.0000)

c) # ThVTc2

ThVTc2 after structural relaxation (PBE-GGA, Alexandria via LeMat-Bulk).

Cell: 3.0922 3.0922 8.9087 Å, 80.01 80.01 60.00°
Element x y z (fractional)
Tc (0.7351, 0.7351, 0.7948)
Tc (0.2649, 0.2649, 0.2052)
Th (0.5000, 0.5000, 0.5000)
V (0.0000, 0.0000, 0.0000)

Pick a): it beats the second-best structure by 20 meV/atom.

a) # YTh2Tc

YTh2Tc after structural relaxation (PBE-GGA, Alexandria via LeMat-Bulk).

Cell: 6.3113 7.3221 9.7636 Å, 90.00 90.00 90.00°
Element x y z (fractional)
Y (0.6433, 0.5406, 0.2500)
Y (0.8567, 0.0406, 0.2500)
Y (0.3567, 0.4594, 0.7500)
Y (0.1433, 0.9594, 0.7500)
Th (0.1676, 0.6700, 0.0631)
Th (0.3324, 0.1700, 0.4369)
Th (0.8324, 0.3300, 0.5631)
Th (0.6676, 0.8300, 0.9369)
Th (0.8324, 0.3300, 0.9369)
Th (0.6676, 0.8300, 0.5631)
Th (0.1676, 0.6700, 0.4369)
Th (0.3324, 0.1700, 0.0631)
Tc (0.0977, 0.3875, 0.2500)
Tc (0.4023, 0.8875, 0.2500)
Tc (0.9023, 0.6125, 0.7500)
Tc (0.5977, 0.1125, 0.7500)

b) # YTh2Tc

YTh2Tc after structural relaxation (PBE-GGA, Alexandria via LeMat-Bulk).

Cell: 3.8332 3.8332 10.4958 Å, 79.48 79.48 60.00°
Element x y z (fractional)
Y (0.0000, 0.0000, 0.0000)
Tc (0.5000, 0.5000, 0.5000)
Th (0.1120, 0.1120, 0.6639)
Th (0.8880, 0.8880, 0.3361)

Pick a): it beats the second-best structure by 434 meV/atom.

a) # Th3ZnTc

Th3ZnTc after structural relaxation (PBE-GGA, Alexandria via LeMat-Bulk).

Cell: 6.0105 6.0107 8.6847 Å, 101.86 101.86 115.36°
Element x y z (fractional)
Th (0.3089, 0.8089, 0.1132)
Th (0.6911, 0.1911, 0.8868)
Th (0.0780, 0.2253, 0.2865)
Th (0.9220, 0.7747, 0.7135)
Th (0.7253, 0.5780, 0.2865)
Th (0.2747, 0.4220, 0.7135)
Zn (0.6902, 0.1902, 0.4948)
Zn (0.3098, 0.8098, 0.5052)
Tc (0.2492, 0.2508, 0.0000)
Tc (0.7508, 0.7492, 0.0000)

b) # Th3ZnTc

Th3ZnTc after structural relaxation (PBE-GGA, Alexandria via LeMat-Bulk).

Cell: 5.2492 7.8909 8.0700 Å, 119.27 90.00 90.00°
Element x y z (fractional)
Th (0.5000, 0.3109, 0.0000)
Th (0.0000, 0.8711, 0.7423)
Th (0.5000, 0.6891, 0.0000)
Th (0.5000, 0.5000, 0.5000)
Th (0.0000, 0.1289, 0.2577)
Th (0.5000, 0.0000, 0.5000)
Zn (0.0000, 0.6197, 0.2395)
Zn (0.0000, 0.3803, 0.7605)
Tc (0.5000, 0.1144, 0.2289)
Tc (0.5000, 0.8856, 0.7711)

Pick a): it beats the second-best structure by 196 meV/atom.

a) # ThZnTc

ThZnTc after structural relaxation (PBE-GGA, Alexandria via LeMat-Bulk).

Cell: 5.5801 5.5801 5.5801 Å, 85.26 125.97 119.69°
Element x y z (fractional)
Th (0.2500, 0.1218, 0.8718)
Th (0.7500, 0.8782, 0.1282)
Zn (0.5000, 0.5000, 0.5000)
Zn (0.0000, 0.5000, 0.0000)
Tc (0.0000, 0.5000, 0.5000)
Tc (0.5000, 0.0000, 0.5000)

b) # ThZnTc

ThZnTc after structural relaxation (PBE-GGA, Alexandria via LeMat-Bulk).

Cell: 4.3759 5.8642 6.2127 Å, 75.27 91.95 60.95°
Element x y z (fractional)
Th (0.2439, 0.9141, 0.4726)
Th (0.3505, 0.4791, 0.1229)
Zn (0.0840, 0.1406, 0.9164)
Zn (0.5105, 0.2525, 0.6793)
Tc (0.7428, 0.9078, 0.1221)
Tc (0.8516, 0.4854, 0.4734)

Pick a): it beats the second-best structure by 109 meV/atom.

a) # ThZnTc

ThZnTc after structural relaxation (PBE-GGA, Alexandria via LeMat-Bulk).

Cell: 3.7293 4.4387 4.4387 Å, 120.00 90.00 90.00°
Element x y z (fractional)
Zn (0.1666, 0.0000, 0.0000)
Tc (0.1667, 0.3333, 0.6667)
Th (0.6667, 0.6667, 0.3333)

b) # ThZnTc

ThZnTc after structural relaxation (PBE-GGA, Alexandria via LeMat-Bulk).

Cell: 3.5562 3.5562 5.4520 Å, 109.03 109.03 90.00°
Element x y z (fractional)
Zn (0.6503, 0.6503, 0.3006)
Tc (0.2478, 0.2478, 0.4955)
Th (0.9519, 0.9519, 0.9039)

Pick a): it beats the second-best structure by 49 meV/atom.

a) # Th2ZnTc2

Th2ZnTc2 after structural relaxation (PBE-GGA, Alexandria via LeMat-Bulk).

Cell: 4.3317 5.5686 5.5676 Å, 64.93 67.11 67.11°
Element x y z (fractional)
Th (0.7082, 0.7919, 0.2918)
Th (0.2918, 0.2081, 0.7082)
Zn (0.5000, 0.5000, 0.0000)
Tc (0.0000, 0.2394, 0.2605)
Tc (0.0000, 0.7606, 0.7395)

b) # Th2ZnTc2

Th2ZnTc2 after structural relaxation (PBE-GGA, Alexandria via LeMat-Bulk).

Cell: 5.7858 5.7858 8.3370 Å, 73.98 73.98 55.73°
Element x y z (fractional)
Th (0.5035, 0.2037, 0.1404)
Th (0.7963, 0.4965, 0.3596)
Th (0.4965, 0.7963, 0.8596)
Th (0.2037, 0.5035, 0.6404)
Zn (0.1291, 0.8709, 0.2500)
Zn (0.8709, 0.1291, 0.7500)
Tc (0.7013, 0.0161, 0.5315)
Tc (0.9839, 0.2987, 0.9685)
Tc (0.2987, 0.9839, 0.4685)
Tc (0.0161, 0.7013, 0.0315)

Pick b): it beats the second-best structure by 13 meV/atom.

a) # Th2ZrTc

Th2ZrTc after structural relaxation (PBE-GGA, Alexandria via LeMat-Bulk).

Cell: 3.5379 3.5379 8.1225 Å, 90.00 90.00 90.00°
Element x y z (fractional)
Zr (0.5000, 0.5000, 0.5000)
Tc (0.5000, 0.5000, 0.0000)
Th (0.0000, 0.0000, 0.7810)
Th (0.0000, 0.0000, 0.2190)

b) # Th2ZrTc

Th2ZrTc after structural relaxation (PBE-GGA, Alexandria via LeMat-Bulk).

Cell: 3.3632 3.3632 10.7294 Å, 80.98 80.98 60.00°
Element x y z (fractional)
Zr (0.0000, 0.0000, 0.0000)
Tc (0.5000, 0.5000, 0.5000)
Th (0.0968, 0.0968, 0.7095)
Th (0.9032, 0.9032, 0.2905)

Pick a): it beats the second-best structure by 369 meV/atom.

a) # ThZr2Tc

ThZr2Tc after structural relaxation (PBE-GGA, Alexandria via LeMat-Bulk).

Cell: 6.0765 7.0646 8.9000 Å, 90.00 90.00 90.00°
Element x y z (fractional)
Th (0.6391, 0.5390, 0.2500)
Th (0.8609, 0.0390, 0.2500)
Th (0.3609, 0.4610, 0.7500)
Th (0.1391, 0.9610, 0.7500)
Zr (0.1512, 0.6813, 0.0641)
Zr (0.3488, 0.1813, 0.4359)
Zr (0.8488, 0.3187, 0.5641)
Zr (0.6512, 0.8187, 0.9359)
Zr (0.8488, 0.3187, 0.9359)
Zr (0.6512, 0.8187, 0.5641)
Zr (0.1512, 0.6813, 0.4359)
Zr (0.3488, 0.1813, 0.0641)
Tc (0.0718, 0.3749, 0.2500)
Tc (0.4282, 0.8749, 0.2500)
Tc (0.9282, 0.6251, 0.7500)
Tc (0.5718, 0.1251, 0.7500)

b) # ThZr2Tc

ThZr2Tc after structural relaxation (PBE-GGA, Alexandria via LeMat-Bulk).

Cell: 4.9527 4.9527 4.9547 Å, 60.01 60.01 60.00°
Element x y z (fractional)
Zr (0.2500, 0.2500, 0.2499)
Zr (0.7500, 0.7500, 0.7501)
Tc (0.0000, 0.0000, 0.0000)
Th (0.5000, 0.5000, 0.5000)

Pick a): it beats the second-best structure by 198 meV/atom.